[1]
## Tl2OsPt (PBEsol)

Data for a relaxed structure of Tl2OsPt.

Unit cell a=3.0315 b=3.0315 c=9.0616 alpha=90.00 beta=90.00 gamma=117.69
With the nearest neighbours (Å) after each atom.
Fractional coordinates of all 4 atoms:
Os 0.5000 0.5000 0.5000  4 Tl 2.75, 4 Os 3.03
Tl 0.0000 0.0000 0.2503  2 Os 2.75, 2 Pt 2.76, 4 Tl 3.03
Tl 0.0000 0.0000 0.7497  2 Os 2.75, 2 Pt 2.76, 4 Tl 3.03
Pt 0.5000 0.5000 0.0000  4 Tl 2.76, 4 Pt 3.03

Summary:
Its formation energy is 713 meV per atom. The total magnetization comes out at 0.00 Bohr magnetons per cell. Its energy above the most stable polymorph in this dataset is 12.4 kJ per mole of atoms.

---

[2]
## TlOsPt2 (PBEsol)

Data for a relaxed structure of TlOsPt2.

Unit cell a=2.8212 b=2.8327 c=9.5872 alpha=90.00 beta=90.00 gamma=119.87
With the nearest neighbours (Å) after each atom.
Fractional coordinates of all 4 atoms:
Os 0.5000 0.0000 0.7649  2 Pt 2.62, 6 Os 2.82-2.83, 2 Tl 2.90
Pt 0.5000 0.0000 0.2390  8 Pt 2.73-2.83, 2 Tl 2.88
Pt 0.0000 0.0000 0.9951  2 Os 2.62, 8 Pt 2.73-2.83
Tl 0.0000 0.0000 0.5010  6 Tl 2.82-2.83, 2 Pt 2.88, 2 Os 2.90

Summary:
Its formation energy is 594 meV per atom. The total magnetization comes out at 0.00 Bohr magnetons per cell. Its energy above the most stable polymorph in this dataset is 21.1 kJ per mole of atoms.

---

[3]
## TlOsPt2 (PBEsol)

Data for a relaxed structure of TlOsPt2.

Unit cell a=4.0507 b=4.0507 c=4.8684 alpha=114.58 beta=114.58 gamma=90.00
With the nearest neighbours (Å) after each atom.
Fractional coordinates of all 4 atoms:
Tl 0.5000 0.5000 0.0000  8 Pt 2.82, 4 Os 2.86
Os 0.0000 0.0000 0.0000  8 Pt 2.82, 4 Tl 2.86
Pt 0.7500 0.2500 0.5000  4 Tl 2.82, 4 Os 2.82, 4 Pt 2.86
Pt 0.2500 0.7500 0.5000  4 Tl 2.82, 4 Os 2.82, 4 Pt 2.86

Summary:
Its formation energy is 499 meV per atom. The total magnetization comes out at 0.00 Bohr magnetons per cell. Its energy above the most stable polymorph in this dataset is 11.9 kJ per mole of atoms.

---

[4]
## Tl2OsPt (PBEsol)

Data for a relaxed structure of Tl2OsPt.

Unit cell a=3.2157 b=5.1185 c=5.3938 alpha=118.33 beta=107.34 gamma=90.00
With the nearest neighbours (Å) after each atom.
Fractional coordinates of all 4 atoms:
Tl 0.2507 0.2507 0.5015  2 Pt 2.75, 2 Os 2.76, 4 Tl 3.02
Tl 0.7493 0.7493 0.4985  2 Pt 2.75, 2 Os 2.76, 4 Tl 3.02
Pt 0.0000 0.5000 0.0000  4 Tl 2.75, 4 Os 3.02
Os 0.5000 0.0000 0.0000  4 Tl 2.76, 4 Pt 3.02

Summary:
Its formation energy is 745 meV per atom. The total magnetization comes out at 0.00 Bohr magnetons per cell. Its energy above the most stable polymorph in this dataset is 15.5 kJ per mole of atoms.

---

[5]
## Tl2OsPt (PBEsol)

Data for a relaxed structure of Tl2OsPt.

Unit cell a=2.9397 b=4.5527 c=6.5027 alpha=110.49 beta=103.06 gamma=90.00
With the nearest neighbours (Å) after each atom.
Fractional coordinates of all 4 atoms:
Pt 0.1936 0.6936 0.3872  2 Os 2.67, 2 Pt 2.94, 4 Tl 2.95
Tl 0.0087 0.0087 0.0173  4 Os 2.71, 2 Tl 2.94
Tl 0.7924 0.2924 0.5848  2 Os 2.92, 2 Tl 2.94, 4 Pt 2.95
Os 0.5053 0.5053 0.0107  2 Pt 2.67, 6 Tl 2.71-2.92, 2 Os 2.94

Summary:
Its formation energy is 584 meV per atom. The total magnetization comes out at 0.00 Bohr magnetons per cell. Its energy above the most stable polymorph in this dataset is 0.0 kJ per mole of atoms.

---

[6]
## TlOsPt2 (PBEsol)

Data for a relaxed structure of TlOsPt2.

Unit cell a=4.5325 b=4.5325 c=4.5325 alpha=60.00 beta=60.00 gamma=60.00
With the nearest neighbours (Å) after each atom.
Fractional coordinates of all 4 atoms:
Tl 0.5000 0.5000 0.5000  8 Pt 2.78
Pt 0.2500 0.2500 0.2500  4 Os 2.78, 4 Tl 2.78
Pt 0.7500 0.7500 0.7500  4 Tl 2.78, 4 Os 2.78
Os 0.0000 0.0000 0.0000  8 Pt 2.78

Summary:
Its formation energy is 629 meV per atom. The total magnetization comes out at 1.32 Bohr magnetons per cell. Its energy above the most stable polymorph in this dataset is 24.5 kJ per mole of atoms.

---

[7]
## TlOsPt2 (PBEsol)

Data for a relaxed structure of TlOsPt2.

Unit cell a=2.8448 b=4.7659 c=5.1378 alpha=99.95 beta=90.00 gamma=107.36
With the nearest neighbours (Å) after each atom.
Fractional coordinates of all 4 atoms:
Tl 0.5031 0.0063 0.4919  7 Pt 2.80-2.97, 2 Tl 2.84, 3 Os 2.87-2.97
Os 0.2516 0.5032 0.7898  5 Pt 2.67-2.70, 2 Os 2.84, 3 Tl 2.87-2.97
Pt 0.9950 0.9901 0.9818  3 Os 2.67-2.69, 5 Pt 2.78-2.84, 4 Tl 2.90-2.97
Pt 0.7502 0.5004 0.2364  2 Os 2.70, 5 Pt 2.78-2.84, 3 Tl 2.80-2.82

Summary:
Its formation energy is 375 meV per atom. The total magnetization comes out at 0.00 Bohr magnetons per cell. Its energy above the most stable polymorph in this dataset is 0.0 kJ per mole of atoms.

---

[8]
## TlOsPt2 (PBEsol)

Data for a relaxed structure of TlOsPt2.

Unit cell a=2.8291 b=2.8291 c=9.6479 alpha=90.00 beta=90.00 gamma=120.07
With the nearest neighbours (Å) after each atom.
Fractional coordinates of all 4 atoms:
Tl 0.5000 0.5000 0.5000  6 Tl 2.83, 4 Pt 2.93
Os 0.5000 0.5000 0.0000  4 Pt 2.66, 6 Os 2.83
Pt 0.0000 0.0000 0.7664  2 Os 2.66, 6 Pt 2.83, 2 Tl 2.93
Pt 0.0000 0.0000 0.2336  2 Os 2.66, 6 Pt 2.83, 2 Tl 2.93

Summary:
Its formation energy is 521 meV per atom. The total magnetization comes out at 0.00 Bohr magnetons per cell. Its energy above the most stable polymorph in this dataset is 14.1 kJ per mole of atoms.

---

[9]
## TlOsPt2 (PBEsol)

Data for a relaxed structure of TlOsPt2.

Unit cell a=2.7716 b=4.8759 c=5.6117 alpha=115.75 beta=104.30 gamma=90.00
With the nearest neighbours (Å) after each atom.
Fractional coordinates of all 4 atoms:
Os 0.2613 0.7613 0.5225  6 Pt 2.64-2.81, 2 Os 2.77, 2 Tl 2.86
Pt 0.9918 0.9918 0.9837  2 Os 2.64, 4 Pt 2.77-2.81, 4 Tl 2.81
Pt 0.7434 0.2434 0.4867  4 Pt 2.77-2.81, 4 Os 2.81, 2 Tl 2.88
Tl 0.5035 0.5035 0.0071  2 Tl 2.77, 6 Pt 2.81-2.88, 2 Os 2.86

Summary:
Its formation energy is 443 meV per atom. The total magnetization comes out at 0.00 Bohr magnetons per cell. Its energy above the most stable polymorph in this dataset is 6.6 kJ per mole of atoms.

---

[10]
## OsPt2W (PBEsol)

Data for a relaxed structure of OsPt2W.

Unit cell a=4.4054 b=4.4054 c=4.4054 alpha=60.00 beta=60.00 gamma=60.00
With the nearest neighbours (Å) after each atom.
Fractional coordinates of all 4 atoms:
Os 0.0000 0.0000 0.0000  8 Pt 2.70
Pt 0.2500 0.2500 0.2500  4 W 2.70, 4 Os 2.70
Pt 0.7500 0.7500 0.7500  4 W 2.70, 4 Os 2.70
W 0.5000 0.5000 0.5000  8 Pt 2.70

Summary:
Its formation energy is 419 meV per atom. The total magnetization comes out at 0.00 Bohr magnetons per cell. Its energy above the most stable polymorph in this dataset is 17.2 kJ per mole of atoms.

---

[11]
## OsPt2W (PBEsol)

Data for a relaxed structure of OsPt2W.

Unit cell a=4.4035 b=4.4035 c=4.4035 alpha=60.00 beta=60.00 gamma=60.00
With the nearest neighbours (Å) after each atom.
Fractional coordinates of all 4 atoms:
W 0.2500 0.2500 0.2500  4 Os 2.70, 4 Pt 2.70
Pt 0.0000 0.0000 0.0000  4 Pt 2.70, 4 W 2.70
Pt 0.7500 0.7500 0.7500  4 Pt 2.70, 4 Os 2.70
Os 0.5000 0.5000 0.5000  4 Pt 2.70, 4 W 2.70

Summary:
Its formation energy is 241 meV per atom. The total magnetization comes out at 0.00 Bohr magnetons per cell. Its energy above the most stable polymorph in this dataset is 0.0 kJ per mole of atoms.

---

[12]
## OsPtW2 (PBEsol)

Data for a relaxed structure of OsPtW2.

Unit cell a=2.7596 b=3.9311 c=5.5182 alpha=90.00 beta=90.00 gamma=90.00
With the nearest neighbours (Å) after each atom.
Fractional coordinates of all 4 atoms:
W 0.0000 0.0000 0.2384  4 W 2.63-2.89, 4 Os 2.74, 4 Pt 2.80
W 0.0000 0.0000 0.7616  4 W 2.63-2.89, 4 Os 2.74, 4 Pt 2.80
Os 0.5000 0.5000 0.0000  8 W 2.74, 2 Pt 2.76, 2 Os 2.76
Pt 0.5000 0.5000 0.5000  2 Os 2.76, 2 Pt 2.76, 8 W 2.80

Summary:
Its formation energy is -119 meV per atom. The total magnetization comes out at 0.00 Bohr magnetons per cell. Its energy above the most stable polymorph in this dataset is 2.9 kJ per mole of atoms.